{
  "formula": "NaCaPuI6",
  "functional": "PBE-GGA",
  "state": "optimized geometry",
  "lattice_angstrom": [[-4.6244, 6.0357, -2.1922], [-2.9260, -7.3492, 0.2206], [-3.9545, 1.9891, 13.8183]],
  "species": ["I", "I", "I", "I", "I", "I", "I", "I", "I", "I", "I", "I", "Na", "Na", "Ca", "Ca", "Pu", "Pu"],
  "frac_coords": [[0.6533, 0.6498, 0.1279], [0.3467, 0.9965, 0.6279], [0.6498, 0.6533, 0.6279], [0.3502, 0.0035, 0.1279], [0.9965, 0.3467, 0.1279], [0.6533, 0.0035, 0.3721], [0.0035, 0.3502, 0.6279], [0.3467, 0.3502, 0.8721], [0.3502, 0.3467, 0.3721], [0.6498, 0.9965, 0.8721], [0.0035, 0.6533, 0.8721], [0.9965, 0.6498, 0.3721], [0.0000, 0.0000, 0.5000], [0.0000, 0.0000, 0.0000], [0.6667, 0.3333, 0.7500], [0.3333, 0.6667, 0.2500], [0.6667, 0.3333, 0.2500], [0.3333, 0.6667, 0.7500]],
  "vol_a3_per_atom": 43.72,
  "spacegroup": "P-31c",
  "final_energy_ry_per_atom": -0.3136,
  "dos_at_fermi_per_ev_fu": 14.25,
  "e_form_raw_ev_per_atom": -1.27
}